Cs8Na6Au: relaxed, PBE.

Computed properties:
- N(E_F) (states/eV/cell) = 27.0
- E_tot (eV per cell) = -53.6
- E_form (meV per atom) = 10
- magnetization (μB per cell) = 0.000
- density (g/cm³) = 1.99

Geometry as CIF:
```
data_Cs8Na6Au
_chemical_formula_sum 'Cs24 Na18 Au3'
_cell_length_a 13.1293
_cell_length_b 13.1293
_cell_length_c 23.4097
_cell_angle_alpha 90.00
_cell_angle_beta 90.00
_cell_angle_gamma 120.00
_symmetry_space_group_name_H-M 'R -3'
_symmetry_Int_Tables_number 148
_symmetry_space_group_name_Hall '-R 3'
loop_
_atom_site_label
_atom_site_fract_x
_atom_site_fract_y
_atom_site_fract_z
Cs1 0.0000 0.0000 0.1765
Cs2 0.0054 0.2315 0.5893
Na1 0.0077 0.5916 0.5674
Au1 0.0000 0.0000 0.5000
```